{
  "formula": "HfPdSe2Br",
  "functional": "PBE",
  "state": "relaxed",
  "final_energy_ev_per_atom": -4.98,
  "dos_at_fermi_per_ev_atom": 1.43,
  "total_magnetization_mub_per_fu": 0.521,
  "space_group": "P4/mmm",
  "e_form_raw_ev_per_atom": -0.2182,
  "cell": [[5.153, 0.000, 0.000], [0.000, 5.153, 0.000], [0.000, 0.000, 5.243]],
  "species": ["Hf", "Pd", "Se", "Se", "Br"],
  "fractional_positions": [[0.000, 0.000, 0.000], [0.500, 0.500, 0.500], [0.000, 0.500, 0.000], [0.500, 0.000, 0.000], [0.000, 0.000, 0.500]]
}